The following is a DFT calculation (PBE) of a relaxed structure of CaYPO2.

## Properties
Formation energy without anion corrections   -1.031 eV per atom

Unit cell a=4.255 b=4.255 c=5.302 alpha=90.00 beta=90.00 gamma=90.00
Last column: magnetic moment on the atom in μB.
Fractional positions:
P (0.000, 0.000, 0.500)  0.19
Ca (0.000, 0.000, 0.000)  0.02
Y (0.500, 0.500, 0.500)  -0.03
O (0.000, 0.500, 0.000)  0.51
O (0.500, 0.000, 0.000)  0.51